Entry from Alexandria via LeMat-Bulk: a relaxed structure of Na3LaTe3 (PBE).

Raw formation energy in eV/atom: -1.152

a = 9.1609 Å, b = 9.1609 Å, c = 9.1609 Å
α = 57.03°, β = 57.03°, γ = 57.03°
Last column: nearest neighbours and their distance in Å.
Positions (direct):
Te 0.4554 0.7062 0.0706  4 Na 3.06-3.21, 2 La 3.25-3.30
Te 0.9294 0.5446 0.2938  4 Na 3.06-3.21, 2 La 3.25-3.30
Te 0.2938 0.9294 0.5446  4 Na 3.06-3.21, 2 La 3.25-3.30
Te 0.7062 0.0706 0.4554  4 Na 3.06-3.21, 2 La 3.25-3.30
Te 0.5446 0.2938 0.9294  4 Na 3.06-3.21, 2 La 3.25-3.30
Te 0.0706 0.4554 0.7062  4 Na 3.06-3.21, 2 La 3.25-3.30
La 0.3345 0.3345 0.3345  6 Te 3.25-3.30
La 0.6655 0.6655 0.6655  6 Te 3.25-3.30
Na 0.1266 0.8259 0.3965  4 Te 3.06-3.21
Na 0.8734 0.1741 0.6035  4 Te 3.06-3.21
Na 0.3965 0.1266 0.8259  4 Te 3.06-3.21
Na 0.8259 0.3965 0.1266  4 Te 3.06-3.21
Na 0.1741 0.6035 0.8734  4 Te 3.06-3.21
Na 0.6035 0.8734 0.1741  4 Te 3.06-3.21



Entry from Alexandria via LeMat-Bulk: a relaxed structure of NaDyTl2I6 (PBE).

Raw formation energy in eV/atom: -1.067

a = 8.4725 Å, b = 8.4730 Å, c = 8.6743 Å
α = 60.75°, β = 60.76°, γ = 59.98°
Last column: nearest neighbours and their distance in Å.
Positions (direct):
Dy 0.3241 0.3241 0.0276  6 I 3.03-3.05
I 0.4603 0.6690 0.7712  1 Dy 3.05, 1 Na 3.21
I 0.9863 0.5709 0.2631  1 Dy 3.03, 1 Na 3.31
I 0.5708 0.1797 0.2632  1 Dy 3.04, 1 Na 3.31
I 0.0994 0.4603 0.7713  1 Dy 3.05, 1 Na 3.21
I 0.1798 0.9862 0.2631  1 Dy 3.04, 1 Na 3.31
I 0.6690 0.0994 0.7713  1 Dy 3.05, 1 Na 3.21
Na 0.8191 0.8191 0.5428  6 I 3.21-3.31
Tl 0.0231 0.0232 0.9306  6 I 3.54-3.55
Tl 0.5297 0.5296 0.4110  6 I 3.55-3.58